Entry 1:
DFT (GGA-PBE) results for a relaxed ThTaCo2P2 crystal.

Calculated values
Fermi-level density of states   4.4 states/eV per cell
Crystal system   trigonal

a = 3.8311 Å, b = 3.8311 Å, c = 7.3989 Å
α = 90.00°, β = 90.00°, γ = 120.00°
Positions (direct):
Th: 0.0000 0.0000 0.0000
Ta: 0.0000 0.0000 0.5000
Co: 0.3333 0.6667 0.6985
Co: 0.6667 0.3333 0.3015
P: 0.3333 0.6667 0.2698
P: 0.6667 0.3333 0.7302


Entry 2:
DFT (GGA-PBE) results for a relaxed TaTi2CoP crystal.

Calculated values
Fermi-level density of states   6.1 states/eV per cell
Crystal system   tetragonal

a = 4.5021 Å, b = 4.5021 Å, c = 4.0441 Å
α = 90.00°, β = 90.00°, γ = 90.00°
Positions (direct):
Ta: 0.0000 0.0000 0.0000
Ti: 0.0000 0.5000 0.5000
Ti: 0.5000 0.0000 0.5000
Co: 0.5000 0.5000 0.5000
P: 0.5000 0.5000 0.0000


Entry 3:
DFT (GGA-PBE) results for a relaxed TbCo3P2 crystal.

Calculated values
Fermi-level density of states   10.6 states/eV per cell
Crystal system   monoclinic

a = 7.6687 Å, b = 7.6687 Å, c = 9.1037 Å
α = 106.51°, β = 106.51°, γ = 27.62°
Positions (direct):
Tb: 0.0000 0.0000 0.0000
Tb: 0.1554 0.1554 0.6986
Tb: 0.8446 0.8446 0.3014
Co: 0.0471 0.0471 0.3367
Co: 0.2177 0.2177 0.3946
Co: 0.3222 0.3222 0.0331
Co: 0.3730 0.3730 0.7884
Co: 0.5000 0.5000 0.5000
Co: 0.6270 0.6270 0.2116
Co: 0.6778 0.6778 0.9669
Co: 0.7823 0.7823 0.6054
Co: 0.9529 0.9529 0.6633
P: 0.1983 0.1983 0.1315
P: 0.3598 0.3598 0.5458
P: 0.4672 0.4672 0.2238
P: 0.5328 0.5328 0.7762
P: 0.6402 0.6402 0.4542
P: 0.8017 0.8017 0.8685


Table of final energy (eV per atom), in record order: -8.253; -7.785; -7.040